This record from the Alexandria database describes a relaxed Ag8Se3Br2 crystal. The functional is PBE-GGA.

Geometry as extended XYZ:
```
13
Lattice="5.780 -4.122 0.000 5.780 4.122 0.000 -4.753 0.000 6.496" Properties=species:S:1:pos:R:3 pbc="T T T"
Ag -0.655 0.000 1.260
Ag 3.451 1.734 1.395
Ag -0.632 0.000 5.307
Ag 3.356 1.734 5.100
Ag 3.451 -1.734 1.395
Ag 7.439 0.000 1.189
Ag 3.356 -1.734 5.100
Ag 7.462 0.000 5.236
Se -2.376 0.000 3.248
Se 5.780 1.772 0.000
Se 5.780 -1.772 0.000
Br 1.787 0.000 2.620
Br 5.020 0.000 3.876
```

Summary:
Total energy: -2.89 eV per atom
SG: C2/m
D(E_F): 1.79 states/eV/f.u.



This record from the Alexandria database describes a relaxed AgSe2Br crystal. The functional is PBE-GGA.

Geometry as extended XYZ:
```
4
Lattice="0.000 3.507 3.507 3.507 0.000 3.507 3.507 3.507 0.000" Properties=species:S:1:pos:R:3 pbc="T T T"
Ag 0.000 0.000 0.000
Se 1.753 1.753 1.753
Se 5.260 5.260 5.260
Br 3.507 3.507 3.507
```

Summary:
Total energy: -2.28 eV per atom
Energy above the lowest structure with this stoichiometry: 2.875 eV per formula unit
SG: Fm-3m
D(E_F): 3.26 states/eV/f.u.



This record from the Alexandria database describes a relaxed AgSeBr crystal. The functional is PBE-GGA.

Geometry as extended XYZ:
```
3
Lattice="-1.539 1.539 8.049 1.539 -1.539 8.049 1.539 1.539 -8.049" Properties=species:S:1:pos:R:3 pbc="T T T"
Ag 0.000 0.000 0.000
Se 0.000 0.000 6.134
Br 0.000 0.000 10.282
```

Summary:
Total energy: -2.48 eV per atom
Energy above the lowest structure with this stoichiometry: 1.022 eV per formula unit
SG: I4mm
D(E_F): 1.98 states/eV/f.u.



This record from the Alexandria database describes a relaxed Ag12Se5Br3 crystal. The functional is PBE-GGA.

Geometry as extended XYZ:
```
80
Lattice="-8.010 8.010 8.010 8.010 -8.010 8.010 8.010 8.010 -8.010" Properties=species:S:1:pos:R:3 pbc="T T T"
Ag 2.263 -0.623 1.259
Ag 9.751 5.264 -4.627
Ag 7.387 -1.259 2.263
Ag 12.637 -1.742 2.746
Ag 1.259 2.263 -0.623
Ag 10.755 3.382 -1.742
Ag 10.273 0.623 1.259
Ag 9.751 -2.746 4.627
Ag 5.264 4.627 -1.742
Ag 6.751 2.263 0.623
Ag -0.623 1.259 2.263
Ag 4.627 -1.742 5.264
Ag 7.387 6.751 -2.263
Ag 4.627 1.742 2.746
Ag 6.751 -2.263 7.387
Ag 5.264 -4.627 9.751
Ag 2.263 7.387 -1.259
Ag 9.751 2.746 3.382
Ag 2.746 4.627 1.742
Ag 9.269 5.747 0.623
Ag 4.627 9.751 -2.746
Ag 7.387 1.259 5.747
Ag 1.742 2.746 4.627
Ag 2.263 0.623 6.751
Ag 5.747 7.387 1.259
Ag 6.268 5.264 3.382
Ag 0.623 6.751 2.263
Ag 3.382 -1.742 10.755
Ag -1.259 2.263 7.387
Ag 5.264 3.382 6.268
Ag -1.742 5.264 4.627
Ag 5.747 0.623 9.269
Ag 2.746 12.637 -1.742
Ag 1.259 10.273 0.623
Ag 3.382 6.268 5.264
Ag 0.623 1.259 10.273
Ag 3.382 9.751 2.746
Ag 8.632 6.751 5.747
Ag 1.259 5.747 7.387
Ag 2.746 3.382 9.751
Ag -1.742 10.755 3.382
Ag -2.263 7.387 6.751
Ag -2.746 4.627 9.751
Ag 6.751 5.747 8.632
Ag -4.627 9.751 5.264
Ag 0.623 9.269 5.747
Ag -1.742 2.746 12.637
Ag 5.747 8.632 6.751
Se 0.000 0.000 0.000
Se 4.005 4.005 -4.005
Se 4.005 -4.005 4.005
Se 8.010 0.000 0.000
Se 12.015 2.002 0.000
Se 8.010 -4.005 6.007
Se 6.007 8.010 -4.005
Se 6.007 0.000 4.005
Se 4.005 6.007 0.000
Se 8.010 4.005 2.002
Se -4.005 4.005 4.005
Se 0.000 8.010 0.000
Se 0.000 0.000 8.010
Se 4.005 4.005 4.005
Se 0.000 4.005 6.007
Se 4.005 2.002 8.010
Se 2.002 8.010 4.005
Se 2.002 0.000 12.015
Se 0.000 12.015 2.002
Se -4.005 6.007 8.010
Br 4.005 2.002 0.000
Br 8.010 4.005 -2.002
Br 2.002 0.000 4.005
Br 10.012 0.000 4.005
Br 0.000 4.005 2.002
Br 4.005 -2.002 8.010
Br 4.005 10.012 0.000
Br 8.010 4.005 6.007
Br -2.002 8.010 4.005
Br 6.007 8.010 4.005
Br 0.000 4.005 10.012
Br 4.005 6.007 8.010
```

Summary:
Total energy: -2.86 eV per atom
SG: Ia-3d
D(E_F): 12.82 states/eV/f.u.



This record from the Alexandria database describes a relaxed AgSe2Br crystal. The functional is PBE-GGA.

Geometry as extended XYZ:
```
8
Lattice="-2.785 2.785 7.493 2.785 -2.785 7.493 2.785 2.785 -7.493" Properties=species:S:1:pos:R:3 pbc="T T T"
Ag 0.000 0.000 0.000
Ag 0.000 2.785 3.746
Se 4.178 1.241 -1.873
Se 1.241 1.393 1.873
Se -1.393 1.544 5.619
Se 1.544 1.393 9.366
Br 2.785 0.000 3.746
Br 0.000 0.000 7.493
```

Summary:
Total energy: -2.44 eV per atom
Energy above the lowest structure with this stoichiometry: 2.235 eV per formula unit
SG: I-42d
D(E_F): 3.08 states/eV/f.u.



This record from the Alexandria database describes a relaxed Ag2SeBr crystal. The functional is PBE-GGA.

Geometry as extended XYZ:
```
4
Lattice="0.000 3.514 3.514 3.514 0.000 3.514 3.514 3.514 0.000" Properties=species:S:1:pos:R:3 pbc="T T T"
Ag 0.000 0.000 0.000
Ag 1.757 1.757 1.757
Se 5.272 5.272 5.272
Br 3.514 3.514 3.514
```

Summary:
Total energy: -2.34 eV per atom
Energy above the lowest structure with this stoichiometry: 2.071 eV per formula unit
SG: F-43m
D(E_F): 2.66 states/eV/f.u.



This record from the Alexandria database describes a relaxed Ag2Se2Br crystal. The functional is PBE-GGA.

Geometry as extended XYZ:
```
10
Lattice="7.865 0.000 0.000 0.000 7.865 0.000 0.000 0.000 3.825" Properties=species:S:1:pos:R:3 pbc="T T T"
Ag 1.542 2.391 0.000
Ag 2.391 6.323 0.000
Ag 5.475 1.542 0.000
Ag 6.323 5.475 0.000
Se 0.852 4.785 1.913
Se 3.080 0.852 1.913
Se 4.785 7.013 1.913
Se 7.013 3.080 1.913
Br 0.000 0.000 0.000
Br 3.933 3.933 0.000
```

Summary:
Total energy: -2.72 eV per atom
SG: P4/mbm
D(E_F): 4.37 states/eV/f.u.



This record from the Alexandria database describes a relaxed AgSe2Br crystal. The functional is PBE-GGA.

Geometry as extended XYZ:
```
4
Lattice="3.623 0.000 0.000 0.000 4.226 0.000 0.000 0.000 6.458" Properties=species:S:1:pos:R:3 pbc="T T T"
Ag 0.000 0.000 0.000
Se 1.811 2.113 1.165
Se 1.811 2.113 5.294
Br 0.000 0.000 3.229
```

Summary:
Total energy: -2.63 eV per atom
Energy above the lowest structure with this stoichiometry: 1.459 eV per formula unit
SG: Pmmm
D(E_F): 3.80 states/eV/f.u.



This record from the Alexandria database describes a relaxed Ag12Se3Br5 crystal. The functional is PBE-GGA.

Geometry as extended XYZ:
```
80
Lattice="-8.066 8.066 8.066 8.066 -8.066 8.066 8.066 8.066 -8.066" Properties=species:S:1:pos:R:3 pbc="T T T"
Ag 7.897 -1.357 2.484
Ag 12.267 -1.549 2.675
Ag 2.484 -0.169 1.357
Ag 9.615 5.390 -4.201
Ag 10.549 0.169 1.357
Ag 9.615 -2.675 4.201
Ag 1.357 2.484 -0.169
Ag 10.741 3.864 -1.549
Ag 5.390 4.201 -1.549
Ag 6.708 2.484 0.169
Ag -0.169 1.357 2.484
Ag 4.201 -1.549 5.390
Ag 7.897 6.708 -2.484
Ag 4.201 1.549 2.675
Ag 6.708 -2.484 7.897
Ag 5.390 -4.201 9.615
Ag 2.675 4.201 1.549
Ag 9.423 5.582 0.169
Ag 2.484 7.897 -1.357
Ag 9.615 2.675 3.864
Ag 1.549 2.675 4.201
Ag 2.484 0.169 6.708
Ag 4.201 9.615 -2.675
Ag 7.897 1.357 5.582
Ag 0.169 6.708 2.484
Ag 3.864 -1.549 10.741
Ag 5.582 7.897 1.357
Ag 6.516 5.390 3.864
Ag -1.549 5.390 4.201
Ag 5.582 0.169 9.423
Ag -1.357 2.484 7.897
Ag 5.390 3.864 6.516
Ag 2.675 12.267 -1.549
Ag 1.357 10.549 0.169
Ag 3.864 6.516 5.390
Ag 0.169 1.357 10.549
Ag 3.864 9.615 2.675
Ag 8.234 6.708 5.582
Ag 1.357 5.582 7.897
Ag 2.675 3.864 9.615
Ag -2.675 4.201 9.615
Ag 6.708 5.582 8.234
Ag -1.549 10.741 3.864
Ag -2.484 7.897 6.708
Ag -1.549 2.675 12.267
Ag 5.582 8.234 6.708
Ag -4.201 9.615 5.390
Ag 0.169 9.423 5.582
Se 4.033 2.016 0.000
Se 8.066 4.033 -2.016
Se 2.016 0.000 4.033
Se 10.082 0.000 4.033
Se 0.000 4.033 2.016
Se 4.033 -2.016 8.066
Se 4.033 10.082 0.000
Se 8.066 4.033 6.049
Se -2.016 8.066 4.033
Se 6.049 8.066 4.033
Se 0.000 4.033 10.082
Se 4.033 6.049 8.066
Br 0.000 0.000 0.000
Br 4.033 4.033 -4.033
Br 4.033 -4.033 4.033
Br 8.066 0.000 0.000
Br 12.098 2.016 0.000
Br 8.066 -4.033 6.049
Br 6.049 8.066 -4.033
Br 6.049 0.000 4.033
Br 4.033 6.049 0.000
Br 8.066 4.033 2.016
Br -4.033 4.033 4.033
Br 0.000 8.066 0.000
Br 0.000 0.000 8.066
Br 4.033 4.033 4.033
Br 0.000 4.033 6.049
Br 4.033 2.016 8.066
Br 2.016 8.066 4.033
Br 2.016 0.000 12.098
Br 0.000 12.098 2.016
Br -4.033 6.049 8.066
```

Summary:
Total energy: -2.76 eV per atom
SG: Ia-3d
D(E_F): 1.50 states/eV/f.u.



This record from the Alexandria database describes a relaxed Ag3SeBr6 crystal. The functional is PBE-GGA.

Geometry as extended XYZ:
```
20
Lattice="7.180 0.000 0.000 0.000 7.032 0.000 -6.322 0.000 11.431" Properties=species:S:1:pos:R:3 pbc="T T T"
Ag 0.000 0.000 0.000
Ag -3.161 3.516 5.715
Ag -3.113 0.169 8.592
Ag 0.048 3.348 2.877
Ag 0.810 3.685 8.554
Ag 3.971 6.864 2.838
Se 0.429 0.000 5.715
Se 3.590 3.516 0.000
Br -0.642 0.706 2.490
Br -3.803 2.810 8.206
Br 1.472 4.723 1.004
Br -1.689 5.825 6.719
Br 2.615 1.291 0.825
Br -0.546 2.226 6.541
Br 1.404 4.807 4.890
Br -1.756 5.742 10.605
Br 2.547 1.207 4.711
Br -0.614 2.309 10.426
Br 4.661 4.223 3.225
Br 1.500 6.326 8.940
```

Summary:
Total energy: -2.40 eV per atom
Energy above the lowest structure with this stoichiometry: 0.072 eV per formula unit
SG: P2_1/c
D(E_F): 3.29 states/eV/f.u.



This record from the Alexandria database describes a relaxed AgSe2Br crystal. The functional is PBE-GGA.

Geometry as extended XYZ:
```
4
Lattice="-2.896 2.896 2.774 2.896 -2.896 2.774 2.896 2.896 -2.774" Properties=species:S:1:pos:R:3 pbc="T T T"
Ag 0.000 0.000 0.000
Se 2.896 0.000 0.000
Se 0.000 2.896 0.000
Br 0.000 0.000 2.774
```

Summary:
Total energy: -2.74 eV per atom
Energy above the lowest structure with this stoichiometry: 1.018 eV per formula unit
SG: I4/mmm
D(E_F): 0.65 states/eV/f.u.



This record from the Alexandria database describes a relaxed Ag5SeBr4 crystal. The functional is PBE-GGA.

Geometry as extended XYZ:
```
10
Lattice="-4.348 4.348 3.394 4.348 -4.348 3.394 4.348 4.348 -3.394" Properties=species:S:1:pos:R:3 pbc="T T T"
Ag 0.000 0.000 0.000
Ag 3.482 1.836 -0.604
Ag 2.512 -0.867 2.790
Ag 1.836 5.215 -0.604
Ag 0.867 2.512 2.790
Se 0.000 0.000 2.580
Br 5.135 -1.724 2.347
Br 3.562 1.724 2.347
Br -1.724 3.562 2.347
Br 1.724 5.135 2.347
```

Summary:
Total energy: -2.64 eV per atom
SG: I4
D(E_F): 4.95 states/eV/f.u.



M_tot values (in μB per cell) by entry order: 0.000, 0.000, 0.000, 0.000, 0.000, 0.000, 0.000, 0.359, 0.000, 0.000, 0.000, 0.000.
Raw formation energy values (in eV/f.u.) by entry order: -1.0, 2.4, 0.6, -0.6, 1.7, 1.5, 0.8, 1.0, -2.1, -1.9, 0.5, -2.0.